DFT (PBE-GGA) results for Ba2Sn3Pb2 after structural relaxation.

a = 12.2238 Å, b = 5.4086 Å, c = 7.7389 Å
α = 90.00°, β = 107.75°, γ = 90.00°
Closest atoms and distances in Å follow each position.
Space group C2/m (No. 12)
Unique sites:
Ba 0.1476 0.0000 0.2686  4 Pb 3.57-3.71, 7 Sn 3.71-3.99
Sn 0.0000 0.5000 0.5000  2 Sn 3.15, 4 Pb 3.48
Sn 0.0991 0.5000 0.9259  2 Sn 2.98-3.15, 2 Pb 3.18
Pb 0.1471 0.0000 0.7462  5 Sn 3.18-3.48

## Properties
formation energy = -0.419 eV per atom
size of the total moment = 0.00 μB/cell
crystal system = monoclinic
D(E_F) = 0.628 states/eV per atom